The following is a DFT calculation (GGA-PBE) of a geometry-optimized ZrZn2 structure.

Crystal system: monoclinic
Formation enthalpy at 0 K: -232.5 meV per atom
Electronic total energy: -3.931 eV/atom
DOS at the Fermi energy: 0.67 states/eV per atom

```
data_ZrZn2
_cell_length_a 10.801
_cell_length_b 3.352
_cell_length_c 7.304
_cell_angle_alpha 90.00
_cell_angle_beta 126.82
_cell_angle_gamma 90.00
_space_group_name_H-M_alt 'C 1 2/m 1'
_space_group_IT_number 12
loop_
_space_group_symop_operation_xyz
'x,y,z'
'-x,-y,-z'
'-x,y,-z'
'x,-y,z'
'x+1/2,y+1/2,z'
'-x+1/2,-y+1/2,-z'
'-x+1/2,y+1/2,-z'
'x+1/2,-y+1/2,z'
loop_
_atom_site_label
_atom_site_fract_x
_atom_site_fract_y
_atom_site_fract_z
Zr1 0.094 0.000 0.327
Zn1 0.138 0.500 0.680
Zn2 0.151 0.500 0.048
```

The following is a DFT calculation (GGA-PBE) of a geometry-optimized Ba4TeAsBr2 structure.

Crystal system: monoclinic
Electronic total energy: -4.012 eV/atom
DOS at the Fermi energy: 0.42 states/eV per atom
E_form (uncorrected): -1.659 eV/atom

```
data_Ba4TeAsBr2
_cell_length_a 8.307
_cell_length_b 4.851
_cell_length_c 8.476
_cell_angle_alpha 90.00
_cell_angle_beta 109.62
_cell_angle_gamma 90.00
_space_group_name_H-M_alt 'P 1 2/m 1'
_space_group_IT_number 10
loop_
_space_group_symop_operation_xyz
'x,y,z'
'-x,-y,-z'
'-x,y,-z'
'x,-y,z'
loop_
_atom_site_label
_atom_site_fract_x
_atom_site_fract_y
_atom_site_fract_z
Ba1 0.228 0.000 0.229
Ba2 0.235 0.500 0.761
Te1 0.000 0.000 0.500
As1 0.000 0.500 0.000
Br1 0.500 0.000 0.000
Br2 0.500 0.500 0.500
```

The following is a DFT calculation (GGA-PBE) of a geometry-optimized PmErTh2Bi4 structure.

Crystal system: monoclinic
Formation enthalpy at 0 K: -718.2 meV per atom
Electronic total energy: -5.678 eV/atom
DOS at the Fermi energy: 0.58 states/eV per atom

```
data_PmErTh2Bi4
_cell_length_a 7.863
_cell_length_b 4.568
_cell_length_c 7.908
_cell_angle_alpha 90.00
_cell_angle_beta 109.67
_cell_angle_gamma 90.00
_space_group_name_H-M_alt 'P 1 2/m 1'
_space_group_IT_number 10
loop_
_space_group_symop_operation_xyz
'x,y,z'
'-x,-y,-z'
'-x,y,-z'
'x,-y,z'
loop_
_atom_site_label
_atom_site_fract_x
_atom_site_fract_y
_atom_site_fract_z
Pm1 0.000 0.000 0.000
Er1 0.000 0.500 0.500
Th1 0.500 0.000 0.500
Th2 0.500 0.500 0.000
Bi1 0.242 0.000 0.743
Bi2 0.245 0.500 0.252
```

The following is a DFT calculation (GGA-PBE) of a geometry-optimized Y2MoAsRh structure.

Crystal system: tetragonal
Formation enthalpy at 0 K: 442.5 meV per atom
Electronic total energy: -6.710 eV/atom
DOS at the Fermi energy: 0.77 states/eV per atom

```
data_Y2MoAsRh
_cell_length_a 5.269
_cell_length_b 5.269
_cell_length_c 4.683
_cell_angle_alpha 90.00
_cell_angle_beta 90.00
_cell_angle_gamma 90.00
_space_group_name_H-M_alt 'P 4/m m m'
_space_group_IT_number 123
_space_group_name_Hall '-P 4 2'
loop_
_atom_site_label
_atom_site_fract_x
_atom_site_fract_y
_atom_site_fract_z
Y1 0.000 0.500 0.000
Mo1 0.000 0.000 0.000
As1 0.000 0.000 0.500
Rh1 0.500 0.500 0.500
```

The following is a DFT calculation (GGA-PBE) of a geometry-optimized NdSm7Er4 structure.

Crystal system: monoclinic
Formation enthalpy at 0 K: 212.2 meV per atom
Electronic total energy: -4.459 eV/atom
Excess energy over the best structure of this formula in the dataset: 212 meV/atom
DOS at the Fermi energy: 1.65 states/eV per atom

```
data_NdSm7Er4
_cell_length_a 16.058
_cell_length_b 5.954
_cell_length_c 9.403
_cell_angle_alpha 90.00
_cell_angle_beta 116.71
_cell_angle_gamma 90.00
_space_group_name_H-M_alt 'C 1 2/m 1'
_space_group_IT_number 12
loop_
_space_group_symop_operation_xyz
'x,y,z'
'-x,-y,-z'
'-x,y,-z'
'x,-y,z'
'x+1/2,y+1/2,z'
'-x+1/2,-y+1/2,-z'
'-x+1/2,y+1/2,-z'
'x+1/2,-y+1/2,z'
loop_
_atom_site_label
_atom_site_fract_x
_atom_site_fract_y
_atom_site_fract_z
Nd1 0.000 0.000 0.000
Sm1 0.000 0.500 0.000
Sm2 0.086 0.000 0.451
Sm3 0.213 0.000 0.240
Sm4 0.215 0.000 0.884
Er1 0.071 0.500 0.698
Er2 0.170 0.500 0.383
```

The following is a DFT calculation (GGA-PBE) of a geometry-optimized LiIn6Pb structure.

Crystal system: tetragonal
Formation enthalpy at 0 K: -39.3 meV per atom
Electronic total energy: -2.796 eV/atom
DOS at the Fermi energy: 0.54 states/eV per atom

```
data_LiIn6Pb
_cell_length_a 4.803
_cell_length_b 4.803
_cell_length_c 9.074
_cell_angle_alpha 90.00
_cell_angle_beta 90.00
_cell_angle_gamma 90.00
_space_group_name_H-M_alt 'P 4/m m m'
_space_group_IT_number 123
_space_group_name_Hall '-P 4 2'
loop_
_atom_site_label
_atom_site_fract_x
_atom_site_fract_y
_atom_site_fract_z
Li1 0.000 0.000 0.000
In1 0.000 0.500 0.231
In2 0.500 0.500 0.000
In3 0.500 0.500 0.500
Pb1 0.000 0.000 0.500
```

The following is a DFT calculation (GGA-PBE) of a geometry-optimized CaTaTl2 structure.

Crystal system: orthorhombic
Formation enthalpy at 0 K: 514.7 meV per atom
Electronic total energy: -4.132 eV/atom
DOS at the Fermi energy: 0.98 states/eV per atom

```
data_CaTaTl2
_cell_length_a 3.275
_cell_length_b 5.280
_cell_length_c 5.820
_cell_angle_alpha 90.00
_cell_angle_beta 90.00
_cell_angle_gamma 90.00
_space_group_name_H-M_alt 'P m m m'
_space_group_IT_number 47
loop_
_space_group_symop_operation_xyz
'x,y,z'
'-x,-y,-z'
'-x,-y,z'
'x,y,-z'
'x,-y,-z'
'-x,y,z'
'-x,y,-z'
'x,-y,z'
loop_
_atom_site_label
_atom_site_fract_x
_atom_site_fract_y
_atom_site_fract_z
Ca1 0.000 0.000 0.000
Ta1 0.500 0.000 0.500
Tl1 0.000 0.500 0.500
Tl2 0.500 0.500 0.000
```

The following is a DFT calculation (GGA-PBE) of a geometry-optimized AlAs3Ru structure.

Crystal system: cubic
Formation enthalpy at 0 K: 552.3 meV per atom
Electronic total energy: -4.841 eV/atom
Excess energy over the best structure of this formula in the dataset: 0 meV/atom
DOS at the Fermi energy: 0.90 states/eV per atom

```
data_AlAs3Ru
_cell_length_a 4.807
_cell_length_b 4.807
_cell_length_c 4.807
_cell_angle_alpha 90.00
_cell_angle_beta 90.00
_cell_angle_gamma 90.00
_space_group_name_H-M_alt 'P m -3 m'
_space_group_IT_number 221
_space_group_name_Hall '-P 4 2 3'
loop_
_atom_site_label
_atom_site_fract_x
_atom_site_fract_y
_atom_site_fract_z
Al1 0.000 0.000 0.000
As1 0.000 0.500 0.500
Ru1 0.500 0.500 0.500
```

The following is a DFT calculation (GGA-PBE) of a geometry-optimized Be2CuAs structure.

Crystal system: cubic
Formation enthalpy at 0 K: 475.4 meV per atom
Electronic total energy: -3.574 eV/atom
DOS at the Fermi energy: 0.33 states/eV per atom

```
data_Be2CuAs
_cell_length_a 5.863
_cell_length_b 5.863
_cell_length_c 5.863
_cell_angle_alpha 90.00
_cell_angle_beta 90.00
_cell_angle_gamma 90.00
_space_group_name_H-M_alt 'F -4 3 m'
_space_group_IT_number 216
_space_group_name_Hall 'F -4 2 3'
loop_
_atom_site_label
_atom_site_fract_x
_atom_site_fract_y
_atom_site_fract_z
Be1 0.000 0.000 0.000
Be2 0.250 0.250 0.250
Cu1 0.000 0.000 0.500
As1 0.250 0.250 0.750
```

The following is a DFT calculation (GGA-PBE) of a geometry-optimized RbNa2MnRe structure.

Crystal system: tetragonal
Formation enthalpy at 0 K: 1068.3 meV per atom
Electronic total energy: -3.976 eV/atom
DOS at the Fermi energy: 0.95 states/eV per atom

```
data_RbNa2MnRe
_cell_length_a 5.977
_cell_length_b 5.977
_cell_length_c 4.524
_cell_angle_alpha 90.00
_cell_angle_beta 90.00
_cell_angle_gamma 90.00
_space_group_name_H-M_alt 'P 4/m m m'
_space_group_IT_number 123
_space_group_name_Hall '-P 4 2'
loop_
_atom_site_label
_atom_site_fract_x
_atom_site_fract_y
_atom_site_fract_z
Rb1 0.000 0.000 0.000
Na1 0.000 0.500 0.500
Mn1 0.500 0.500 0.000
Re1 0.500 0.500 0.500
```

The following is a DFT calculation (GGA-PBE) of a geometry-optimized CeGaGeAu structure.

Crystal system: cubic
Formation enthalpy at 0 K: -433.6 meV per atom
Electronic total energy: -4.647 eV/atom
DOS at the Fermi energy: 1.21 states/eV per atom

```
data_CeGaGeAu
_cell_length_a 6.971
_cell_length_b 6.971
_cell_length_c 6.971
_cell_angle_alpha 90.00
_cell_angle_beta 90.00
_cell_angle_gamma 90.00
_space_group_name_H-M_alt 'F -4 3 m'
_space_group_IT_number 216
_space_group_name_Hall 'F -4 2 3'
loop_
_atom_site_label
_atom_site_fract_x
_atom_site_fract_y
_atom_site_fract_z
Ce1 0.000 0.000 0.000
Ga1 0.000 0.000 0.500
Ge1 0.250 0.250 0.750
Au1 0.250 0.250 0.250
```

The following is a DFT calculation (GGA-PBE) of a geometry-optimized Li2Tm2ThMg5 structure.

Crystal system: tetragonal
Formation enthalpy at 0 K: 49.4 meV per atom
Electronic total energy: -2.767 eV/atom
DOS at the Fermi energy: 0.98 states/eV per atom

```
data_Li2Tm2ThMg5
_cell_length_a 10.197
_cell_length_b 10.197
_cell_length_c 4.734
_cell_angle_alpha 90.00
_cell_angle_beta 90.00
_cell_angle_gamma 90.00
_space_group_name_H-M_alt 'P 4/m b m'
_space_group_IT_number 127
_space_group_name_Hall '-P 4 2ab'
loop_
_atom_site_label
_atom_site_fract_x
_atom_site_fract_y
_atom_site_fract_z
Li1 0.112 0.388 0.000
Tm1 0.182 0.682 0.000
Th1 0.000 0.000 0.000
Mg1 0.000 0.500 0.500
Mg2 0.064 0.215 0.500
```